Computed, not measured: an optimized crystal structure of AcTmAl2Au5 at the PBE level of DFT.

V (Å³/atom): 22.190
Raw total energy (eV per atom): -4.181
M_tot (μB per formula unit): 0.000
Density (g/cm3): 11.9
Symmetry: P4/mmm

Cell: 4.932 4.932 8.209 Å, 90.00 90.00 90.00°
Element x y z (fractional)
Ac1 0.000 0.000 0.000
Tm1 0.000 0.000 0.500
Al1 0.500 0.500 0.339
Al2 0.500 0.500 0.661
Au1 0.000 0.500 0.267
Au2 0.000 0.500 0.733
Au3 0.500 0.000 0.267
Au4 0.500 0.000 0.733
Au5 0.500 0.500 0.000